1 | A plane-wave DFT calculation with PBE was carried out for a geometry-optimized LaGeIN2 structure.

Values from the calculation:
Spin magnetization = 0.0 μB per cell
Space-group type = P4/mmm
Calculated volume = 96.1 Å³/cell

Cell and atoms, written as CIF:
```
data_LaGeIN2
_chemical_formula_sum 'La1 Ge1 I1 N2'
_symmetry_space_group_name_H-M 'P 1'
_symmetry_Int_Tables_number 1
_symmetry_space_group_name_Hall 'P 1'
_cell_length_a 4.264
_cell_length_b 4.264
_cell_length_c 5.284
_cell_angle_alpha 90.00
_cell_angle_beta 90.00
_cell_angle_gamma 90.00
loop_
_atom_site_label
_atom_site_type_symbol
_atom_site_fract_x
_atom_site_fract_y
_atom_site_fract_z
_atom_site_occupancy
La1 La 0.500 0.500 0.500 1
N1 N 0.000 0.500 0.000 1
N2 N 0.500 0.000 0.000 1
Ge1 Ge 0.000 0.000 0.000 1
I1 I 0.000 0.000 0.500 1
```

2 | A plane-wave DFT calculation with PBE was carried out for a geometry-optimized LaGeIN2 structure.

Values from the calculation:
Spin magnetization = 0.0 μB per cell
Space-group type = P4/mmm
Calculated volume = 126.3 Å³/cell

Cell and atoms, written as CIF:
```
data_LaGeIN2
_chemical_formula_sum 'La1 Ge1 I1 N2'
_symmetry_space_group_name_H-M 'P 1'
_symmetry_Int_Tables_number 1
_symmetry_space_group_name_Hall 'P 1'
_cell_length_a 4.405
_cell_length_b 4.405
_cell_length_c 6.508
_cell_angle_alpha 90.00
_cell_angle_beta 90.00
_cell_angle_gamma 90.00
loop_
_atom_site_label
_atom_site_type_symbol
_atom_site_fract_x
_atom_site_fract_y
_atom_site_fract_z
_atom_site_occupancy
N1 N 0.000 0.500 0.000 1
N2 N 0.500 0.000 0.000 1
I1 I 0.000 0.000 0.500 1
La1 La 0.000 0.000 0.000 1
Ge1 Ge 0.500 0.500 0.500 1
```

Least stable: 2